La2DyCd4Si4 | GGA-PBE | relaxed

energy = -4.00 eV per atom

Cell lengths 13.5469, 13.5469, 13.5469 Å; angles 161.92, 161.25, 26.16 degrees
Closest atoms and distances in Å follow each position.
Atoms (fractional coordinates):
1 Si 0.5438 0.5438 0.0000  1 Si 2.31, 2 Cd 2.52
2 Si 0.1865 0.6864 0.5000  5 Cd 2.54-2.76
3 Si 0.8136 0.3135 0.5000  5 Cd 2.54-2.76
4 Si 0.4562 0.4562 0.0000  1 Si 2.31, 2 Cd 2.52
5 La 0.6422 0.1422 0.5000  6 Si 3.28-3.36, 8 Cd 3.36-3.61
6 La 0.3578 0.8578 0.5000  6 Si 3.28-3.36, 8 Cd 3.36-3.61
7 Cd 0.9100 0.4100 0.5000  3 Si 2.52-2.54
8 Cd 0.2504 0.2504 0.0000  4 Si 2.72-2.76
9 Cd 0.7496 0.7496 0.0000  4 Si 2.72-2.76
10 Cd 0.0900 0.5900 0.5000  3 Si 2.52-2.54
11 Dy 0.0000 0.0000 0.0000  4 Cd 3.19, 8 Si 3.28

LiDyCdSe3 | GGA-PBE | relaxed

offset from the most stable computed form = 0.58 eV/f.u.

Cell lengths 4.0843, 6.8989, 11.1233 Å; angles 90.00, 90.00, 72.78 degrees
Closest atoms and distances in Å follow each position.
Atoms (fractional coordinates):
1 Cd 0.5233 0.9535 0.2500  4 Se 2.60-2.65
2 Cd 0.4767 0.0466 0.7500  4 Se 2.60-2.65
3 Li 0.7673 0.4653 0.7500  6 Se 2.96-3.14
4 Li 0.2327 0.5347 0.2500  6 Se 2.96-3.14
5 Se 0.3567 0.2867 0.5641  1 Cd 2.60, 2 Dy 2.87
6 Se 0.6433 0.7133 0.4359  1 Cd 2.60, 2 Dy 2.87
7 Se 0.8951 0.2098 0.2500  2 Cd 2.65, 2 Li 2.96
8 Se 0.1049 0.7902 0.7500  2 Cd 2.65, 2 Li 2.96
9 Se 0.6433 0.7133 0.0641  1 Cd 2.60, 2 Dy 2.87
10 Se 0.3567 0.2867 0.9359  1 Cd 2.60, 2 Dy 2.87
11 Dy 0.0000 0.0000 0.5000  6 Se 2.87-3.11
12 Dy 0.0000 0.0000 0.0000  6 Se 2.87-3.11